No. 1
5
Lattice="4.4071 0.0000 0.0000 0.0000 4.4071 0.0000 0.0000 0.0000 6.2350" Properties=species:S:1:pos:R:3 comment="SCAN KHgPO2, PBEsol geometry" space_group="P4/mmm (123)" rho_g_cm3=4.2 pbc="T T T"
K 0.0000 0.0000 0.0000
O 2.2035 0.0000 0.0000
O 0.0000 2.2035 0.0000
P 0.0000 0.0000 3.1175
Hg 2.2035 2.2035 3.1175

---

No. 2
4
Lattice="-1.2987 1.5669 3.6805 2.2913 -0.6142 3.4729 2.0576 3.2191 1.7585" Properties=species:S:1:pos:R:3 comment="SCAN Be2PCl, PBEsol geometry" space_group="Fm-3m (225)" rho_g_cm3=2.7 pbc="T T T"
Be 2.2876 3.1288 6.6839
Be 0.7625 1.0429 2.2280
P 1.5251 2.0859 4.4560
Cl 0.0000 0.0000 0.0000

---

Number 1: VASP energy -94.4 eV per cell, raw formation energy 983 meV/atom. Number 2: VASP energy -24.4 eV per cell, raw formation energy 671 meV/atom.